No. 1
This record from the Alexandria database describes a relaxed Ga2AgHg2 crystal. The functional is PBEsol.

Calculated values
Its energy relative to the elements is 65 meV per atom.

abc: 6.830 6.830 4.247
angles: 90.00 90.00 90.00
Space group P4/mbm (No. 127)
Inequivalent atoms, fractional coordinates:
Ga: 0.134 0.366 0.000 x4
Ag: 0.000 0.000 0.000 x2
Hg: 0.180 0.680 0.500 x4


No. 2
This record from the Alexandria database describes a relaxed Ga2AgHgMo crystal. The functional is PBEsol.

Calculated values
Its energy relative to the elements is 1404 meV per atom.

abc: 4.866 4.866 5.380
angles: 90.00 90.00 90.00
Space group P4/mmm (No. 123)
Inequivalent atoms, fractional coordinates:
Ga: 0.000 0.500 0.000 x2
Ag: 0.000 0.000 0.500 x1
Hg: 0.500 0.500 0.000 x1
Mo: 0.500 0.500 0.500 x1


No. 3
This record from the Alexandria database describes a relaxed Ga2AgHgRu crystal. The functional is PBEsol.

Calculated values
Its energy relative to the elements is 1037 meV per atom.

abc: 4.663 4.663 5.114
angles: 90.00 90.00 90.00
Space group P4/mmm (No. 123)
Inequivalent atoms, fractional coordinates:
Ga: 0.000 0.500 0.000 x2
Ag: 0.000 0.000 0.000 x1
Hg: 0.500 0.500 0.500 x1
Ru: 0.000 0.000 0.500 x1


No. 4
This record from the Alexandria database describes a relaxed HoGaAg crystal. The functional is PBEsol.

Calculated values
Its energy relative to the elements is -526 meV per atom.

abc: 10.264 4.463 7.004
angles: 90.00 131.71 90.00
Space group C2/m (No. 12)
Inequivalent atoms, fractional coordinates:
Ho: 0.036 0.000 0.292 x4
Ga: 0.159 0.500 0.116 x4
Ag: 0.173 0.500 0.721 x4


No. 5
This record from the Alexandria database describes a relaxed Ho2GaAg crystal. The functional is PBEsol.

Calculated values
Its energy relative to the elements is -483 meV per atom.

abc: 7.070 7.070 7.070
angles: 90.00 90.00 90.00
Space group Fm-3m (No. 225)
Inequivalent atoms, fractional coordinates:
Ho: 0.250 0.250 0.250 x8
Ga: 0.000 0.000 0.000 x4
Ag: 0.000 0.000 0.500 x4


No. 6
This record from the Alexandria database describes a relaxed GaAg3I crystal. The functional is PBEsol.

Calculated values
The value obtained for the formation energy (no corrections) is 2.475 eV per formula unit.

abc: 4.924 4.924 4.924
angles: 90.00 90.00 90.00
Space group Pm-3m (No. 221)
Inequivalent atoms, fractional coordinates:
Ga: 0.000 0.000 0.000 x1
Ag: 0.000 0.000 0.500 x3
I: 0.500 0.500 0.500 x1


Sequential E output: -10.80; -15.30; -15.55; -13.18; -18.48; -12.56 eV/f.u.